[1]
# GGA-PBE Ce2SmTc, relaxed
data_Ce2SmTc
_space_group_name_H-M_alt 'P 1'
_space_group_IT_number 1
_space_group_name_Hall 'P 1'
_cell_length_a 3.441
_cell_length_b 3.441
_cell_length_c 8.712
_cell_angle_alpha 90.00
_cell_angle_beta 90.00
_cell_angle_gamma 90.00
loop_
_atom_site_label
_atom_site_type_symbol
_atom_site_fract_x
_atom_site_fract_y
_atom_site_fract_z
Ce1 Ce 0.000 0.000 0.802
Ce2 Ce 0.000 0.000 0.198
Sm1 Sm 0.500 0.500 0.500
Tc1 Tc 0.500 0.500 0.000
# energy of formation = 5 kJ/mol of atoms
# symmetry = P4/mmm


[2]
# GGA-PBE CeNi4Rh, relaxed
data_CeNi4Rh
_space_group_name_H-M_alt 'P 1'
_space_group_IT_number 1
_space_group_name_Hall 'P 1'
_cell_length_a 4.895
_cell_length_b 4.895
_cell_length_c 4.895
_cell_angle_alpha 60.00
_cell_angle_beta 60.00
_cell_angle_gamma 60.00
loop_
_atom_site_label
_atom_site_type_symbol
_atom_site_fract_x
_atom_site_fract_y
_atom_site_fract_z
Ni1 Ni 0.624 0.624 0.128
Ni2 Ni 0.624 0.128 0.624
Ni3 Ni 0.624 0.624 0.624
Ni4 Ni 0.128 0.624 0.624
Rh1 Rh 0.250 0.250 0.250
Ce1 Ce 0.000 0.000 0.000
# energy of formation = -28 kJ/mol of atoms
# symmetry = F-43m


[3]
# GGA-PBE TmTl2AgCl6, relaxed
data_TmTl2AgCl6
_space_group_name_H-M_alt 'P 1'
_space_group_IT_number 1
_space_group_name_Hall 'P 1'
_cell_length_a 7.360
_cell_length_b 7.645
_cell_length_c 10.338
_cell_angle_alpha 90.00
_cell_angle_beta 89.54
_cell_angle_gamma 90.00
loop_
_atom_site_label
_atom_site_type_symbol
_atom_site_fract_x
_atom_site_fract_y
_atom_site_fract_z
Tm1 Tm 0.500 0.000 0.500
Tm2 Tm 0.000 0.500 0.000
Tl1 Tl 0.018 0.935 0.251
Tl2 Tl 0.518 0.565 0.751
Tl3 Tl 0.982 0.065 0.749
Tl4 Tl 0.482 0.435 0.249
Ag1 Ag 0.500 0.000 0.000
Ag2 Ag 0.000 0.500 0.500
Cl1 Cl 0.287 0.692 0.042
Cl2 Cl 0.787 0.808 0.542
Cl3 Cl 0.713 0.308 0.958
Cl4 Cl 0.213 0.192 0.458
Cl5 Cl 0.310 0.717 0.458
Cl6 Cl 0.810 0.783 0.958
Cl7 Cl 0.690 0.283 0.542
Cl8 Cl 0.190 0.217 0.042
Cl9 Cl 0.915 0.517 0.246
Cl10 Cl 0.415 0.983 0.746
Cl11 Cl 0.085 0.483 0.754
Cl12 Cl 0.585 0.017 0.254
# energy relative to the elements, uncorrected = -1.430 eV/atom
# symmetry = P2_1/c


[4]
# GGA-PBE CdInSb3, relaxed
data_CdInSb3
_space_group_name_H-M_alt 'P 1'
_space_group_IT_number 1
_space_group_name_Hall 'P 1'
_cell_length_a 5.590
_cell_length_b 5.590
_cell_length_c 5.590
_cell_angle_alpha 90.00
_cell_angle_beta 90.00
_cell_angle_gamma 90.00
loop_
_atom_site_label
_atom_site_type_symbol
_atom_site_fract_x
_atom_site_fract_y
_atom_site_fract_z
Sb1 Sb 0.000 0.500 0.000
Sb2 Sb 0.000 0.000 0.500
Sb3 Sb 0.500 0.000 0.000
Cd1 Cd 0.000 0.000 0.000
In1 In 0.500 0.500 0.500
# energy relative to the elements, uncorrected = 0.629 eV/atom
# symmetry = Pm-3m


[5]
# GGA-PBE Na3SrIn, relaxed
data_Na3SrIn
_space_group_name_H-M_alt 'P 1'
_space_group_IT_number 1
_space_group_name_Hall 'P 1'
_cell_length_a 6.656
_cell_length_b 6.656
_cell_length_c 6.656
_cell_angle_alpha 90.00
_cell_angle_beta 90.00
_cell_angle_gamma 90.00
loop_
_atom_site_label
_atom_site_type_symbol
_atom_site_fract_x
_atom_site_fract_y
_atom_site_fract_z
Sr1 Sr 0.000 0.000 0.000
Na1 Na 0.000 0.500 0.000
Na2 Na 0.000 0.000 0.500
Na3 Na 0.500 0.000 0.000
In1 In 0.500 0.500 0.500
# energy of formation = 65 kJ/mol of atoms
# symmetry = Pm-3m


[6]
# GGA-PBE NaBeMo2Au, relaxed
data_NaBeMo2Au
_space_group_name_H-M_alt 'P 1'
_space_group_IT_number 1
_space_group_name_Hall 'P 1'
_cell_length_a 4.547
_cell_length_b 4.611
_cell_length_c 4.547
_cell_angle_alpha 90.00
_cell_angle_beta 90.00
_cell_angle_gamma 90.00
loop_
_atom_site_label
_atom_site_type_symbol
_atom_site_fract_x
_atom_site_fract_y
_atom_site_fract_z
Na1 Na 0.000 0.000 0.000
Mo1 Mo 0.000 0.000 0.500
Mo2 Mo 0.500 0.000 0.000
Au1 Au 0.000 0.500 0.000
Be1 Be 0.500 0.500 0.500
# energy of formation = 239 kJ/mol of atoms
# symmetry = P4/mmm


[7]
# GGA-PBE KOsPt, relaxed
data_KOsPt
_space_group_name_H-M_alt 'P 1'
_space_group_IT_number 1
_space_group_name_Hall 'P 1'
_cell_length_a 7.698
_cell_length_b 7.698
_cell_length_c 2.813
_cell_angle_alpha 79.47
_cell_angle_beta 79.47
_cell_angle_gamma 21.06
loop_
_atom_site_label
_atom_site_type_symbol
_atom_site_fract_x
_atom_site_fract_y
_atom_site_fract_z
K1 K 0.002 0.002 0.998
Os1 Os 0.309 0.309 0.691
Pt1 Pt 0.690 0.690 0.310
# energy of formation = 67 kJ/mol of atoms
# symmetry = I4mm


[8]
# GGA-PBE TcMo3, relaxed
data_TcMo3
_space_group_name_H-M_alt 'P 1'
_space_group_IT_number 1
_space_group_name_Hall 'P 1'
_cell_length_a 4.448
_cell_length_b 5.213
_cell_length_c 3.148
_cell_angle_alpha 72.43
_cell_angle_beta 90.00
_cell_angle_gamma 115.25
loop_
_atom_site_label
_atom_site_type_symbol
_atom_site_fract_x
_atom_site_fract_y
_atom_site_fract_z
Mo1 Mo 0.004 0.009 0.996
Mo2 Mo 0.250 0.500 0.250
Mo3 Mo 0.496 0.991 0.504
Tc1 Tc 0.750 0.500 0.750
# energy of formation = 3 kJ/mol of atoms
# symmetry = Immm


[9]
# GGA-PBE Nb5H4Rh, relaxed
data_Nb5H4Rh
_space_group_name_H-M_alt 'P 1'
_space_group_IT_number 1
_space_group_name_Hall 'P 1'
_cell_length_a 2.860
_cell_length_b 5.826
_cell_length_c 7.179
_cell_angle_alpha 101.28
_cell_angle_beta 101.49
_cell_angle_gamma 90.00
loop_
_atom_site_label
_atom_site_type_symbol
_atom_site_fract_x
_atom_site_fract_y
_atom_site_fract_z
Nb1 Nb 0.162 0.336 0.324
Nb2 Nb 0.162 0.827 0.324
Nb3 Nb 0.838 0.173 0.676
Nb4 Nb 0.500 0.500 0.000
Nb5 Nb 0.838 0.664 0.676
H1 H 0.691 0.096 0.383
H2 H 0.999 0.233 0.998
H3 H 0.309 0.904 0.617
H4 H 0.001 0.767 0.002
Rh1 Rh 0.500 0.000 0.000
# symmetry = C2/m


[10]
# GGA-PBE MnBe4Os, relaxed
data_MnBe4Os
_space_group_name_H-M_alt 'P 1'
_space_group_IT_number 1
_space_group_name_Hall 'P 1'
_cell_length_a 4.287
_cell_length_b 4.287
_cell_length_c 4.287
_cell_angle_alpha 60.00
_cell_angle_beta 60.00
_cell_angle_gamma 60.00
loop_
_atom_site_label
_atom_site_type_symbol
_atom_site_fract_x
_atom_site_fract_y
_atom_site_fract_z
Be1 Be 0.125 0.625 0.625
Be2 Be 0.625 0.625 0.625
Be3 Be 0.625 0.125 0.625
Be4 Be 0.625 0.625 0.125
Mn1 Mn 0.250 0.250 0.250
Os1 Os 0.000 0.000 0.000
# energy of formation = -34 kJ/mol of atoms
# symmetry = F-43m


[11]
# GGA-PBE CeHoPa2, relaxed
data_CeHoPa2
_space_group_name_H-M_alt 'P 1'
_space_group_IT_number 1
_space_group_name_Hall 'P 1'
_cell_length_a 3.190
_cell_length_b 3.190
_cell_length_c 10.248
_cell_angle_alpha 90.00
_cell_angle_beta 90.00
_cell_angle_gamma 90.00
loop_
_atom_site_label
_atom_site_type_symbol
_atom_site_fract_x
_atom_site_fract_y
_atom_site_fract_z
Pa1 Pa 0.000 0.000 0.758
Pa2 Pa 0.000 0.000 0.242
Ho1 Ho 0.500 0.500 0.500
Ce1 Ce 0.500 0.500 0.000
# energy of formation = 14 kJ/mol of atoms
# symmetry = P4/mmm


[12]
# GGA-PBE Li2Al7Pd2, relaxed
data_Li2Al7Pd2
_space_group_name_H-M_alt 'P 1'
_space_group_IT_number 1
_space_group_name_Hall 'P 1'
_cell_length_a 5.420
_cell_length_b 7.087
_cell_length_c 5.420
_cell_angle_alpha 84.54
_cell_angle_beta 102.72
_cell_angle_gamma 95.46
loop_
_atom_site_label
_atom_site_type_symbol
_atom_site_fract_x
_atom_site_fract_y
_atom_site_fract_z
Li1 Li 0.685 0.017 0.315
Li2 Li 0.315 0.983 0.685
Al1 Al 0.030 0.297 0.562
Al2 Al 0.562 0.703 0.030
Al3 Al 0.970 0.703 0.438
Al4 Al 0.438 0.297 0.970
Al5 Al 0.000 0.000 0.000
Al6 Al 0.482 0.693 0.518
Al7 Al 0.518 0.307 0.482
Pd1 Pd 0.806 0.500 0.806
Pd2 Pd 0.194 0.500 0.194
# energy of formation = -11 kJ/mol of atoms
# symmetry = C2/m


[13]
# GGA-PBE Mo3Br, relaxed
data_Mo3Br
_space_group_name_H-M_alt 'P 1'
_space_group_IT_number 1
_space_group_name_Hall 'P 1'
_cell_length_a 2.903
_cell_length_b 2.903
_cell_length_c 8.878
_cell_angle_alpha 90.00
_cell_angle_beta 90.00
_cell_angle_gamma 112.77
loop_
_atom_site_label
_atom_site_type_symbol
_atom_site_fract_x
_atom_site_fract_y
_atom_site_fract_z
Mo1 Mo 0.500 0.500 0.734
Mo2 Mo 0.000 0.000 0.500
Mo3 Mo 0.500 0.500 0.266
Br1 Br 0.000 0.000 0.000
# energy relative to the elements, uncorrected = 0.573 eV/atom
# symmetry = Cmmm


[14]
# GGA-PBE LaY3Ru, relaxed
data_LaY3Ru
_space_group_name_H-M_alt 'P 1'
_space_group_IT_number 1
_space_group_name_Hall 'P 1'
_cell_length_a 3.448
_cell_length_b 7.520
_cell_length_c 7.520
_cell_angle_alpha 128.43
_cell_angle_beta 90.00
_cell_angle_gamma 90.00
loop_
_atom_site_label
_atom_site_type_symbol
_atom_site_fract_x
_atom_site_fract_y
_atom_site_fract_z
Y1 Y 0.500 0.145 0.360
Y2 Y 0.500 0.640 0.855
Y3 Y 0.000 0.200 0.800
Ru1 Ru 0.500 0.040 0.960
La1 La 0.000 0.603 0.397
# energy of formation = 17 kJ/mol of atoms
# symmetry = Amm2


[15]
# GGA-PBE LaCuNiPb, relaxed
data_LaCuNiPb
_space_group_name_H-M_alt 'P 1'
_space_group_IT_number 1
_space_group_name_Hall 'P 1'
_cell_length_a 4.870
_cell_length_b 4.870
_cell_length_c 4.870
_cell_angle_alpha 60.00
_cell_angle_beta 60.00
_cell_angle_gamma 60.00
loop_
_atom_site_label
_atom_site_type_symbol
_atom_site_fract_x
_atom_site_fract_y
_atom_site_fract_z
Pb1 Pb 0.500 0.500 0.500
Ni1 Ni 0.250 0.250 0.250
Cu1 Cu 0.750 0.750 0.750
La1 La 0.000 0.000 0.000
# energy of formation = -19 kJ/mol of atoms
# symmetry = F-43m


[16]
# GGA-PBE Sr2MgTl7Pb2, relaxed
data_Sr2MgTl7Pb2
_space_group_name_H-M_alt 'P 1'
_space_group_IT_number 1
_space_group_name_Hall 'P 1'
_cell_length_a 4.832
_cell_length_b 4.832
_cell_length_c 17.198
_cell_angle_alpha 79.22
_cell_angle_beta 79.22
_cell_angle_gamma 89.81
loop_
_atom_site_label
_atom_site_type_symbol
_atom_site_fract_x
_atom_site_fract_y
_atom_site_fract_z
Sr1 Sr 0.794 0.794 0.325
Sr2 Sr 0.206 0.206 0.675
Mg1 Mg 0.000 0.000 0.000
Tl1 Tl 0.500 0.500 0.000
Tl2 Tl 0.252 0.252 0.470
Tl3 Tl 0.748 0.748 0.530
Tl4 Tl 0.906 0.407 0.145
Tl5 Tl 0.407 0.906 0.145
Tl6 Tl 0.593 0.094 0.855
Tl7 Tl 0.094 0.593 0.855
Pb1 Pb 0.680 0.680 0.717
Pb2 Pb 0.320 0.320 0.283
# energy of formation = -13 kJ/mol of atoms
# symmetry = C2/m


[17]
# GGA-PBE PrMgCdGa2, relaxed
data_PrMgCdGa2
_space_group_name_H-M_alt 'P 1'
_space_group_IT_number 1
_space_group_name_Hall 'P 1'
_cell_length_a 4.374
_cell_length_b 4.374
_cell_length_c 6.599
_cell_angle_alpha 109.36
_cell_angle_beta 109.36
_cell_angle_gamma 90.00
loop_
_atom_site_label
_atom_site_type_symbol
_atom_site_fract_x
_atom_site_fract_y
_atom_site_fract_z
Pr1 Pr 0.000 0.000 0.000
Mg1 Mg 0.750 0.250 0.500
Cd1 Cd 0.250 0.750 0.500
Ga1 Ga 0.605 0.605 0.211
Ga2 Ga 0.395 0.395 0.789
# energy of formation = -44 kJ/mol of atoms
# symmetry = I-4m2


[18]
# GGA-PBE Nd2MgURu2, relaxed
data_Nd2MgURu2
_space_group_name_H-M_alt 'P 1'
_space_group_IT_number 1
_space_group_name_Hall 'P 1'
_cell_length_a 6.584
_cell_length_b 6.453
_cell_length_c 8.323
_cell_angle_alpha 112.81
_cell_angle_beta 113.30
_cell_angle_gamma 90.00
loop_
_atom_site_label
_atom_site_type_symbol
_atom_site_fract_x
_atom_site_fract_y
_atom_site_fract_z
Nd1 Nd 0.683 0.948 0.367
Nd2 Nd 0.183 0.419 0.367
Nd3 Nd 0.817 0.581 0.633
Nd4 Nd 0.317 0.052 0.633
Mg1 Mg 0.250 0.000 0.000
Mg2 Mg 0.750 0.000 0.000
U1 U 0.750 0.500 0.000
U2 U 0.250 0.500 0.000
Ru1 Ru 0.403 0.604 0.805
Ru2 Ru 0.597 0.396 0.195
Ru3 Ru 0.097 0.798 0.195
Ru4 Ru 0.903 0.202 0.805
# energy of formation = -17 kJ/mol of atoms
# symmetry = Ibam


[19]
# GGA-PBE CaTm3Th2Bi6, relaxed
data_CaTm3Th2Bi6
_space_group_name_H-M_alt 'P 1'
_space_group_IT_number 1
_space_group_name_Hall 'P 1'
_cell_length_a 4.527
_cell_length_b 9.042
_cell_length_c 10.088
_cell_angle_alpha 102.78
_cell_angle_beta 102.97
_cell_angle_gamma 90.00
loop_
_atom_site_label
_atom_site_type_symbol
_atom_site_fract_x
_atom_site_fract_y
_atom_site_fract_z
Ca1 Ca 0.500 0.000 0.000
Tm1 Tm 0.500 0.500 0.000
Tm2 Tm 0.835 0.167 0.670
Tm3 Tm 0.165 0.833 0.330
Th1 Th 0.836 0.671 0.672
Th2 Th 0.164 0.329 0.328
Bi1 Bi 0.331 0.924 0.662
Bi2 Bi 0.665 0.589 0.330
Bi3 Bi 0.669 0.076 0.338
Bi4 Bi 0.997 0.256 0.995
Bi5 Bi 0.003 0.744 0.005
Bi6 Bi 0.335 0.411 0.670
# energy of formation = -71 kJ/mol of atoms
# symmetry = C2/m


no.,total DFT energy (no corrections) (eV per atom)
1,-6.69
2,-6.36
3,-3.74
4,-2.58
5,-1.00
6,-3.52
7,-5.43
8,-10.68
9,-7.26
10,-6.23
11,-7.23
12,-3.79
13,-7.97
14,-6.54
15,-4.83
16,-2.55
17,-3.12
18,-7.01
19,-5.20